VASP calculation (PBE) on CaTlSnAu after structural relaxation.

Cell and atoms, written as CIF:
```
data_CaTlSnAu
_chemical_formula_sum 'Ca4 Tl4 Sn4 Au4'
_space_group_name_H-M_alt 'F -4 3 m'
_space_group_IT_number 216
_space_group_name_Hall 'F -4 2 3'
_cell_length_a 7.3565
_cell_length_b 7.3565
_cell_length_c 7.3565
_cell_angle_alpha 90.00
_cell_angle_beta 90.00
_cell_angle_gamma 90.00
loop_
_atom_site_label
_atom_site_fract_x
_atom_site_fract_y
_atom_site_fract_z
Ca1 0.0000 0.0000 0.0000
Tl1 0.2500 0.2500 0.2500
Sn1 0.0000 0.0000 0.5000
Au1 0.2500 0.2500 0.7500
```

Summary:
Energy of formation (meV per atom): -383
Total magnetization (μB per formula unit): 0.00